(a)
Compound: TaMnTl2
Source: the Alexandria database
Functional: PBEsol
Structure: relaxed

V in Å³/f.u.: 79.2

Cell lengths 3.0084, 5.4683, 5.7083 Å; angles 117.78, 103.89, 92.81 degrees
Site moments in Bohr magnetons follow the coordinates.
Fractional positions:
Tl 0.5000 0.5000 0.5000  -0.02
Tl 0.0000 0.0000 0.5000  -0.02
Mn 0.5000 0.0000 0.0000  3.63
Ta 0.0000 0.5000 0.0000  -0.09

(b)
Compound: TaMnTl2
Source: the Alexandria database
Functional: PBEsol
Structure: relaxed

V in Å³/f.u.: 78.3

Cell lengths 3.0088, 4.9029, 6.0389 Å; angles 113.95, 104.43, 90.00 degrees
Site moments in Bohr magnetons follow the coordinates.
Fractional positions:
Ta 0.7830 0.2830 0.5660  -0.17
Tl 0.2274 0.7274 0.4549  0.02
Tl 0.0088 0.0088 0.0176  -0.03
Mn 0.4808 0.4808 0.9615  2.96

If you had to bet on the most stable structure above, which would it be? Bet on (b).